No. 1
Entry from the Alexandria database: crystalline TaFe2Te at its relaxed geometry (PBE).

Summary:
E: -0.2796 hartree per atom
E_form (uncorrected): 0.3719 eV/atom
DOS at the Fermi energy: 3.989 states/eV/f.u.
magnetization: 2.5 μB/f.u.

Cell: 7.9980 7.9980 7.9980 Å, 22.53 22.53 22.53°
Closest atoms and distances in Å follow each position.
Atoms (fractional coordinates):
Fe1 0.9957 0.9957 0.9957  3 Ta 2.58, 3 Te 2.73
Fe2 0.5043 0.5043 0.5043  3 Ta 2.58, 3 Te 2.73
Ta1 0.2500 0.2500 0.2500  6 Fe 2.58
Te1 0.7500 0.7500 0.7500  6 Fe 2.73

No. 2
Entry from the Alexandria database: crystalline ThInPb2 at its relaxed geometry (PBE).

Summary:
E: -0.1711 hartree per atom
energy above the most stable polymorph in this dataset: 0.0 meV/atom
energy of formation from the pure elements: -1.05 eV per formula unit
DOS at the Fermi energy: 3.411 states/eV/f.u.
magnetization: 0.0 μB/f.u.

Cell: 4.6925 4.9345 4.9345 Å, 90.00 90.00 90.00°
Closest atoms and distances in Å follow each position.
Atoms (fractional coordinates):
Pb1 0.0000 0.0000 0.5000  4 In 3.40, 4 Th 3.40, 4 Pb 3.49
Pb2 0.0000 0.5000 0.0000  4 In 3.40, 4 Th 3.40, 4 Pb 3.49
Th1 0.5000 0.5000 0.5000  8 Pb 3.40, 4 In 3.49
In1 0.5000 0.0000 0.0000  8 Pb 3.40, 4 Th 3.49

No. 3
Entry from the Alexandria database: crystalline TePd3W at its relaxed geometry (PBE).

Summary:
E: -0.1875 hartree per atom
energy above the most stable polymorph in this dataset: 172.9 meV/atom
E_form (uncorrected): 1.2336 eV/atom
DOS at the Fermi energy: 3.145 states/eV/f.u.
magnetization: 4.0 μB/f.u.

Cell: 4.8785 4.8785 4.8785 Å, 90.00 90.00 90.00°
Closest atoms and distances in Å follow each position.
Atoms (fractional coordinates):
Te1 0.0000 0.0000 0.0000  6 Pd 2.44
Pd1 0.0000 0.5000 0.0000  2 Te 2.44
Pd2 0.0000 0.0000 0.5000  2 Te 2.44
Pd3 0.5000 0.0000 0.0000  2 Te 2.44
W1 0.5000 0.5000 0.5000  12 Pd 3.45

No. 4
Entry from the Alexandria database: crystalline CuSi at its relaxed geometry (PBE).

Summary:
E: -0.1713 hartree per atom
E_form (uncorrected): 0.0971 eV/atom
DOS at the Fermi energy: 0.400 states/eV/f.u.
magnetization: 0.0 μB/f.u.

Cell: 2.7726 2.8807 4.1647 Å, 90.16 109.40 121.21°
Closest atoms and distances in Å follow each position.
Atoms (fractional coordinates):
Si1 0.5000 0.5000 0.0000  6 Cu 2.47-2.54
Cu1 0.5000 0.0000 0.5000  6 Si 2.47-2.54

No. 5
Entry from the Alexandria database: crystalline RbCr2S4 at its relaxed geometry (PBE).

Summary:
E: -0.2193 hartree per atom
energy above the most stable polymorph in this dataset: 116.0 meV/atom
E_form (uncorrected): -0.7217 eV/atom
DOS at the Fermi energy: 2.681 states/eV/f.u.
magnetization: 5.0 μB/f.u.

Cell: 3.5836 11.6598 13.1375 Å, 90.00 90.00 90.00°
Closest atoms and distances in Å follow each position.
Atoms (fractional coordinates):
Rb1 0.2500 0.7442 0.8346  8 S 3.14-3.30
Rb2 0.7500 0.2558 0.1654  8 S 3.14-3.30
Rb3 0.7500 0.7558 0.3346  8 S 3.14-3.30
Rb4 0.2500 0.2442 0.6654  8 S 3.14-3.30
Cr1 0.2500 0.5711 0.6040  6 S 2.36-2.59
Cr2 0.7500 0.4289 0.3960  6 S 2.36-2.59
Cr3 0.7500 0.9289 0.1040  6 S 2.36-2.59
Cr4 0.2500 0.0711 0.8960  6 S 2.36-2.59
Cr5 0.2500 0.5738 0.1044  6 S 2.38-2.56
Cr6 0.7500 0.4262 0.8956  6 S 2.38-2.56
Cr7 0.7500 0.9262 0.6044  6 S 2.38-2.56
Cr8 0.2500 0.0738 0.3956  6 S 2.38-2.56
S1 0.7500 0.5189 0.2156  3 Cr 2.40-2.59
S2 0.2500 0.4811 0.7844  3 Cr 2.40-2.59
S3 0.2500 0.9811 0.7156  3 Cr 2.40-2.59
S4 0.7500 0.0189 0.2844  3 Cr 2.40-2.59
S5 0.2500 0.5600 0.4250  3 Cr 2.36-2.39
S6 0.7500 0.4400 0.5750  3 Cr 2.36-2.39
S7 0.7500 0.9400 0.9250  3 Cr 2.36-2.39
S8 0.2500 0.0600 0.0750  3 Cr 2.36-2.39
S9 0.7500 0.6037 0.9881  3 Cr 2.38-2.40
S10 0.2500 0.3963 0.0119  3 Cr 2.38-2.40
S11 0.2500 0.8963 0.4881  3 Cr 2.38-2.40
S12 0.7500 0.1037 0.5119  3 Cr 2.38-2.40
S13 0.7500 0.7081 0.6264  3 Cr 2.42-2.56
S14 0.2500 0.2919 0.3736  3 Cr 2.42-2.56
S15 0.2500 0.7919 0.1264  3 Cr 2.42-2.56
S16 0.7500 0.2081 0.8736  3 Cr 2.42-2.56

No. 6
Entry from the Alexandria database: crystalline LiCu2Hg2Pd5 at its relaxed geometry (PBE).

Summary:
E: -0.1379 hartree per atom
energy of formation from the pure elements: -0.86 eV per formula unit
DOS at the Fermi energy: 6.266 states/eV/f.u.
magnetization: 0.0 μB/f.u.

Cell: 4.0119 9.0353 9.0353 Å, 90.00 90.00 90.00°
Closest atoms and distances in Å follow each position.
Atoms (fractional coordinates):
Li1 0.0000 0.0000 0.0000  8 Pd 2.78
Li2 0.0000 0.5000 0.5000  8 Pd 2.78
Cu1 0.0000 0.1247 0.6247  6 Pd 2.56-2.61, 3 Hg 2.61-2.71
Cu2 0.0000 0.8753 0.3753  6 Pd 2.56-2.61, 3 Hg 2.61-2.71
Cu3 0.0000 0.6247 0.8753  6 Pd 2.56-2.61, 3 Hg 2.61-2.71
Cu4 0.0000 0.3753 0.1247  6 Pd 2.56-2.61, 3 Hg 2.61-2.71
Hg1 0.0000 0.6714 0.1714  3 Cu 2.61-2.71
Hg2 0.0000 0.3286 0.8286  3 Cu 2.61-2.71
Hg3 0.0000 0.1714 0.3286  3 Cu 2.61-2.71
Hg4 0.0000 0.8286 0.6714  3 Cu 2.61-2.71
Pd1 0.5000 0.1962 0.0808  2 Cu 2.61, 4 Pd 2.71-2.85, 2 Li 2.78
Pd2 0.5000 0.8038 0.9192  2 Cu 2.61, 4 Pd 2.71-2.85, 2 Li 2.78
Pd3 0.5000 0.0808 0.8038  2 Cu 2.61, 4 Pd 2.71-2.85, 2 Li 2.78
Pd4 0.5000 0.6962 0.4192  2 Cu 2.61, 4 Pd 2.71-2.85, 2 Li 2.78
Pd5 0.5000 0.9192 0.1962  2 Cu 2.61, 4 Pd 2.71-2.85, 2 Li 2.78
Pd6 0.5000 0.3038 0.5808  2 Cu 2.61, 4 Pd 2.71-2.85, 2 Li 2.78
Pd7 0.5000 0.5808 0.6962  2 Cu 2.61, 4 Pd 2.71-2.85, 2 Li 2.78
Pd8 0.5000 0.4192 0.3038  2 Cu 2.61, 4 Pd 2.71-2.85, 2 Li 2.78
Pd9 0.5000 0.5000 0.0000  4 Cu 2.56, 4 Pd 2.84
Pd10 0.5000 0.0000 0.5000  4 Cu 2.56, 4 Pd 2.84

No. 7
Entry from the Alexandria database: crystalline ZrCr2Cl at its relaxed geometry (PBE).

Summary:
E: -0.2484 hartree per atom
energy above the most stable polymorph in this dataset: 764.4 meV/atom
E_form (uncorrected): 0.6503 eV/atom
DOS at the Fermi energy: 4.108 states/eV/f.u.
magnetization: 5.7 μB/f.u.

Cell: 4.7012 4.7012 3.2088 Å, 90.00 90.00 90.00°
Closest atoms and distances in Å follow each position.
Atoms (fractional coordinates):
Cr1 0.0000 0.0000 0.0000  4 Zr 2.85, 4 Cl 2.85
Cr2 0.5000 0.5000 0.0000  4 Zr 2.85, 4 Cl 2.85
Zr1 0.5000 0.0000 0.5000  8 Cr 2.85
Cl1 0.0000 0.5000 0.5000  8 Cr 2.85

No. 8
Entry from the Alexandria database: crystalline RbCdHgSb2 at its relaxed geometry (PBE).

Summary:
E: -0.0833 hartree per atom
E_form (uncorrected): -0.1812 eV/atom
DOS at the Fermi energy: 2.807 states/eV/f.u.
magnetization: 0.0 μB/f.u.

Cell: 5.1141 5.1141 7.2410 Å, 110.68 110.68 90.00°
Closest atoms and distances in Å follow each position.
Atoms (fractional coordinates):
Rb1 0.0000 0.0000 0.0000  8 Sb 3.93, 4 Hg 4.05, 4 Cd 4.05
Cd1 0.2500 0.7500 0.5000  4 Sb 3.01
Hg1 0.7500 0.2500 0.5000  4 Sb 3.01
Sb1 0.6236 0.6236 0.2472  2 Hg 3.01, 2 Cd 3.01, 1 Sb 3.10
Sb2 0.3764 0.3764 0.7528  2 Cd 3.01, 2 Hg 3.01, 1 Sb 3.10

No. 9
Entry from the Alexandria database: crystalline Al2NiAu at its relaxed geometry (PBE).

Summary:
E: -0.1670 hartree per atom
energy of formation from the pure elements: -1.63 eV per formula unit
DOS at the Fermi energy: 1.057 states/eV/f.u.
magnetization: 0.0 μB/f.u.

Cell: 4.3242 4.3242 4.3242 Å, 60.00 60.00 60.00°
Closest atoms and distances in Å follow each position.
Atoms (fractional coordinates):
Ni1 0.0000 0.0000 0.0000  8 Al 2.65
Au1 0.5000 0.5000 0.5000  8 Al 2.65
Al1 0.2500 0.2500 0.2500  4 Au 2.65, 4 Ni 2.65
Al2 0.7500 0.7500 0.7500  4 Ni 2.65, 4 Au 2.65

No. 10
Entry from the Alexandria database: crystalline TcAsBr2 at its relaxed geometry (PBE).

Summary:
E: -0.1616 hartree per atom
energy above the most stable polymorph in this dataset: 223.0 meV/atom
E_form (uncorrected): 0.1917 eV/atom
DOS at the Fermi energy: 3.111 states/eV/f.u.
magnetization: 0.0 μB/f.u.

Cell: 3.0824 3.0824 9.5286 Å, 90.00 90.00 90.00°
Closest atoms and distances in Å follow each position.
Atoms (fractional coordinates):
As1 0.5000 0.5000 0.6711  4 Tc 2.62
Tc1 0.0000 0.0000 0.5181  4 As 2.62, 4 Br 2.78
Br1 0.0000 0.0000 0.9745  4 Br 3.08
Br2 0.5000 0.5000 0.3363  4 Tc 2.78, 4 Br 3.08